A plane-wave DFT calculation with PBE was carried out for Dy2Ho5Sc after structural relaxation.

Final energy, eV per atom: -4.7890
Energy relative to the elements, kcal/mol of atoms: 0.32

a = 7.1379 Å, b = 7.1382 Å, c = 6.6035 Å
α = 105.67°, β = 105.67°, γ = 120.01°
With the nearest neighbours (Å) after each atom.
Element x y z (fractional)
Ho 0.7369 0.8188 0.5001  2 Sc 3.46, 6 Ho 3.46-3.57, 4 Dy 3.55-3.59
Ho 0.3218 0.7390 0.0000  4 Dy 3.43-3.49, 6 Ho 3.47-3.60, 2 Sc 3.56-3.57
Ho 0.3205 0.2351 0.0000  8 Ho 3.46-3.59, 2 Dy 3.48, 2 Sc 3.57
Ho 0.2368 0.3187 0.4999  2 Sc 3.46, 6 Ho 3.46-3.57, 4 Dy 3.55-3.59
Ho 0.8168 0.2343 0.0000  4 Dy 3.43-3.49, 6 Ho 3.47-3.60, 2 Sc 3.57
Sc 0.8196 0.7361 0.0000  2 Dy 3.41, 10 Ho 3.46-3.57
Dy 0.7394 0.3247 0.5083  1 Sc 3.41, 9 Ho 3.43-3.59, 2 Dy 3.57
Dy 0.2311 0.8164 0.4917  1 Sc 3.41, 9 Ho 3.43-3.59, 2 Dy 3.57



A plane-wave DFT calculation with PBE was carried out for Dy2Ho2Sc5 after structural relaxation.

Final energy, eV per atom: -5.3629
Energy relative to the elements, kcal/mol of atoms: 4.49

a = 8.2883 Å, b = 10.4625 Å, c = 8.8505 Å
α = 126.23°, β = 117.92°, γ = 90.00°
With the nearest neighbours (Å) after each atom.
Element x y z (fractional)
Sc 0.2081 0.6870 0.8015  4 Sc 3.08-3.31, 2 Ho 3.15-3.31, 2 Dy 3.22-3.28
Sc 0.0323 0.7938 0.5000  4 Sc 3.17-3.22, 2 Ho 3.39, 1 Dy 3.46
Sc 0.9066 0.3855 0.1985  4 Sc 3.08-3.31, 2 Ho 3.15-3.31, 2 Dy 3.22-3.28
Sc 0.7919 0.8855 0.1985  4 Sc 3.08-3.31, 2 Ho 3.15-3.31, 2 Dy 3.22-3.28
Sc 0.4371 0.1542 0.7493  3 Sc 2.90-3.09, 1 Dy 3.16, 1 Ho 3.23
Sc 0.8123 0.6542 0.7493  3 Sc 2.90-3.09, 1 Dy 3.16, 1 Ho 3.23
Sc 0.1877 0.9048 0.2507  3 Sc 2.90-3.09, 1 Dy 3.16, 1 Ho 3.23
Sc 0.9677 0.2938 0.5000  4 Sc 3.17-3.22, 2 Ho 3.39, 1 Dy 3.46
Sc 0.5629 0.4048 0.2507  3 Sc 2.90-3.09, 1 Dy 3.16, 1 Ho 3.23
Sc 0.0934 0.1870 0.8015  4 Sc 3.08-3.31, 2 Ho 3.15-3.31, 2 Dy 3.22-3.28
Ho 0.7677 0.3704 0.7887  5 Sc 3.15-3.39, 2 Ho 3.23-3.36, 2 Dy 3.40-3.42
Ho 0.2323 0.5817 0.2113  5 Sc 3.15-3.39, 2 Ho 3.23-3.36, 2 Dy 3.40-3.42
Ho 0.4790 0.0817 0.2113  5 Sc 3.15-3.39, 2 Ho 3.23-3.36, 2 Dy 3.40-3.42
Ho 0.5210 0.8704 0.7887  5 Sc 3.15-3.39, 2 Ho 3.23-3.36, 2 Dy 3.40-3.42
Dy 0.0000 0.0424 0.0000  4 Sc 3.16-3.22, 2 Dy 3.30, 2 Ho 3.40
Dy 0.5000 0.5424 0.0000  4 Sc 3.16-3.22, 2 Dy 3.30, 2 Ho 3.40
Dy 0.3560 0.4162 0.5000  5 Sc 3.28-3.46, 2 Dy 3.30, 4 Ho 3.42-3.65
Dy 0.6440 0.9162 0.5000  5 Sc 3.28-3.46, 2 Dy 3.30, 4 Ho 3.42-3.65



A plane-wave DFT calculation with PBE was carried out for DyHo7Sc4 after structural relaxation.

Final energy, eV per atom: -5.1455
Energy relative to the elements, kcal/mol of atoms: 0.43

a = 6.9334 Å, b = 9.1748 Å, c = 8.5169 Å
α = 81.04°, β = 89.94°, γ = 40.91°
With the nearest neighbours (Å) after each atom.
Element x y z (fractional)
Ho 0.2232 0.7769 0.6635  5 Sc 3.36-3.49, 6 Ho 3.37-3.52, 1 Dy 3.44
Ho 0.0281 0.7164 0.3393  6 Sc 3.32-3.54, 5 Ho 3.37-3.52, 1 Dy 3.47
Ho 0.7514 0.5029 0.0046  3 Sc 3.41-3.46, 7 Ho 3.41-3.53, 2 Dy 3.46-3.51
Ho 0.7768 0.2231 0.3365  5 Sc 3.36-3.49, 6 Ho 3.37-3.52, 1 Dy 3.44
Ho 0.9719 0.2836 0.6607  6 Sc 3.32-3.54, 5 Ho 3.37-3.52, 1 Dy 3.47
Ho 0.5000 0.0000 0.0000  4 Sc 3.41-3.44, 6 Ho 3.43-3.48, 2 Dy 3.47
Ho 0.2486 0.4971 0.9954  3 Sc 3.41-3.46, 7 Ho 3.41-3.53, 2 Dy 3.46-3.51
Dy 0.0000 0.0000 0.0000  10 Ho 3.44-3.51, 2 Sc 3.45
Sc 0.5303 0.7245 0.3377  3 Sc 3.32-3.49, 8 Ho 3.34-3.54, 1 Dy 3.45
Sc 0.2836 0.2167 0.3398  4 Sc 3.30-3.49, 8 Ho 3.32-3.47
Sc 0.4697 0.2755 0.6623  3 Sc 3.32-3.49, 8 Ho 3.34-3.54, 1 Dy 3.45
Sc 0.7164 0.7833 0.6602  4 Sc 3.30-3.49, 8 Ho 3.32-3.47



A plane-wave DFT calculation with PBE was carried out for Dy2Ho15Sc2 after structural relaxation.

Final energy, eV per atom: -4.4709
Energy relative to the elements, kcal/mol of atoms: 6.78

a = 8.5983 Å, b = 8.5983 Å, c = 8.5983 Å
α = 79.59°, β = 79.59°, γ = 79.59°
With the nearest neighbours (Å) after each atom.
Element x y z (fractional)
Dy 0.3200 0.3200 0.3200  15 Ho 3.90-4.15, 1 Sc 3.98
Dy 0.6800 0.6800 0.6800  15 Ho 3.90-4.15, 1 Sc 3.98
Ho 0.3675 0.3675 0.8546  6 Ho 3.26-3.28
Ho 0.0000 0.0000 0.5000  8 Ho 3.26-3.34, 2 Sc 3.44
Ho 0.6325 0.1454 0.6325  6 Ho 3.26-3.28
Ho 0.1454 0.6325 0.6325  6 Ho 3.26-3.28
Ho 0.0000 0.7049 0.2951  6 Ho 3.25-3.34, 2 Sc 3.61
Ho 0.7049 0.0000 0.2951  6 Ho 3.25-3.34, 2 Sc 3.61
Ho 0.2951 0.0000 0.7049  6 Ho 3.25-3.34, 2 Sc 3.61
Ho 0.3675 0.8546 0.3675  6 Ho 3.26-3.28
Ho 0.6325 0.6325 0.1454  6 Ho 3.26-3.28
Ho 0.0000 0.5000 0.0000  8 Ho 3.26-3.34, 2 Sc 3.44
Ho 0.0000 0.2951 0.7049  6 Ho 3.25-3.34, 2 Sc 3.61
Ho 0.7049 0.2951 0.0000  6 Ho 3.25-3.34, 2 Sc 3.61
Ho 0.8546 0.3675 0.3675  6 Ho 3.26-3.28
Ho 0.2951 0.7049 0.0000  6 Ho 3.25-3.34, 2 Sc 3.61
Ho 0.5000 0.0000 0.0000  8 Ho 3.26-3.34, 2 Sc 3.44
Sc 0.0911 0.0911 0.0911  1 Sc 3.16, 3 Ho 3.44
Sc 0.9089 0.9089 0.9089  1 Sc 3.16, 3 Ho 3.44



A plane-wave DFT calculation with PBE was carried out for Dy3Ho8Sc after structural relaxation.

Final energy, eV per atom: -4.0077
Energy relative to the elements, kcal/mol of atoms: 16.66

a = 7.5955 Å, b = 7.5955 Å, c = 9.3005 Å
α = 114.10°, β = 114.10°, γ = 90.00°
With the nearest neighbours (Å) after each atom.
Element x y z (fractional)
Dy 0.7500 0.2500 0.5000  8 Ho 3.31
Dy 0.2500 0.7500 0.5000  8 Ho 3.31
Dy 0.5000 0.5000 0.0000  8 Ho 3.31
Ho 0.6315 0.1231 0.7546  1 Sc 3.23, 3 Dy 3.31
Ho 0.1231 0.1231 0.7546  1 Sc 3.23, 3 Dy 3.31
Ho 0.1231 0.6315 0.7546  1 Sc 3.23, 3 Dy 3.31
Ho 0.3685 0.8769 0.2454  1 Sc 3.23, 3 Dy 3.31
Ho 0.6315 0.6315 0.7546  1 Sc 3.23, 3 Dy 3.31
Ho 0.8769 0.3685 0.2454  1 Sc 3.23, 3 Dy 3.31
Ho 0.3685 0.3685 0.2454  1 Sc 3.23, 3 Dy 3.31
Ho 0.8769 0.8769 0.2454  1 Sc 3.23, 3 Dy 3.31
Sc 0.0000 0.0000 0.0000  8 Ho 3.23



A plane-wave DFT calculation with PBE was carried out for Dy4Ho5Sc2 after structural relaxation.

Final energy, eV per atom: -4.6330
Energy relative to the elements, kcal/mol of atoms: 6.28

a = 3.4358 Å, b = 9.0120 Å, c = 12.1778 Å
α = 111.72°, β = 98.11°, γ = 90.00°
With the nearest neighbours (Å) after each atom.
Element x y z (fractional)
Ho 0.8485 0.6456 0.6970  1 Sc 3.22, 3 Dy 3.39-3.51, 2 Ho 3.44
Ho 0.8485 0.0514 0.6970  1 Sc 3.22, 3 Dy 3.39-3.51, 2 Ho 3.44
Ho 0.1515 0.3544 0.3030  1 Sc 3.22, 3 Dy 3.39-3.51, 2 Ho 3.44
Ho 0.5000 0.0000 0.0000  4 Dy 3.25, 2 Ho 3.44
Ho 0.1515 0.9486 0.3030  1 Sc 3.22, 3 Dy 3.39-3.51, 2 Ho 3.44
Dy 0.5989 0.5989 0.1978  1 Sc 2.93
Dy 0.4011 0.4011 0.8022  1 Sc 2.93
Dy 0.0000 0.6940 0.0000  4 Ho 3.25-3.51, 7 Dy 3.30-3.50
Dy 0.0000 0.3060 0.0000  4 Ho 3.25-3.51, 7 Dy 3.30-3.50
Sc 0.2700 0.2700 0.5401  1 Dy 2.93, 2 Ho 3.22
Sc 0.7300 0.7300 0.4599  1 Dy 2.93, 2 Ho 3.22



A plane-wave DFT calculation with PBE was carried out for Dy8Ho6Sc after structural relaxation.

Final energy, eV per atom: -4.5851
Energy relative to the elements, kcal/mol of atoms: 2.83

a = 8.9591 Å, b = 8.9591 Å, c = 8.5319 Å
α = 58.33°, β = 58.33°, γ = 60.00°
With the nearest neighbours (Å) after each atom.
Element x y z (fractional)
Ho 0.4559 0.8910 0.8793  4 Dy 3.33-3.67, 1 Sc 3.37, 4 Ho 3.49-3.65
Ho 0.2262 0.5441 0.1207  4 Dy 3.33-3.67, 1 Sc 3.37, 4 Ho 3.49-3.65
Ho 0.7738 0.4559 0.8793  4 Dy 3.33-3.67, 1 Sc 3.37, 4 Ho 3.49-3.65
Ho 0.5441 0.1090 0.1207  4 Dy 3.33-3.67, 1 Sc 3.37, 4 Ho 3.49-3.65
Ho 0.8910 0.7738 0.8793  4 Dy 3.33-3.67, 1 Sc 3.37, 4 Ho 3.49-3.65
Ho 0.1090 0.2262 0.1207  4 Dy 3.33-3.67, 1 Sc 3.37, 4 Ho 3.49-3.65
Dy 0.2533 0.2785 0.5779  3 Ho 3.34-3.67, 5 Dy 3.37-3.40, 1 Sc 3.46
Dy 0.4232 0.4232 0.7305  4 Dy 3.13-3.39, 3 Ho 3.33
Dy 0.7215 0.1097 0.4221  3 Ho 3.34-3.67, 5 Dy 3.37-3.40, 1 Sc 3.46
Dy 0.7467 0.7215 0.4221  3 Ho 3.34-3.67, 5 Dy 3.37-3.40, 1 Sc 3.46
Dy 0.5768 0.5768 0.2695  4 Dy 3.13-3.39, 3 Ho 3.33
Dy 0.8903 0.2533 0.5779  3 Ho 3.34-3.67, 5 Dy 3.37-3.40, 1 Sc 3.46
Dy 0.1097 0.7467 0.4221  3 Ho 3.34-3.67, 5 Dy 3.37-3.40, 1 Sc 3.46
Dy 0.2785 0.8903 0.5779  3 Ho 3.34-3.67, 5 Dy 3.37-3.40, 1 Sc 3.46
Sc 0.0000 0.0000 0.0000  6 Ho 3.37, 6 Dy 3.46



A plane-wave DFT calculation with PBE was carried out for Dy2Ho7Sc3 after structural relaxation.

Final energy, eV per atom: -4.8683
Energy relative to the elements, kcal/mol of atoms: 3.50

a = 3.5113 Å, b = 5.6410 Å, c = 18.4608 Å
α = 98.79°, β = 90.00°, γ = 90.00°
With the nearest neighbours (Å) after each atom.
Element x y z (fractional)
Ho 0.0000 0.4290 0.8580  4 Sc 3.13-3.34, 4 Ho 3.40
Ho 0.5000 0.0905 0.1811  8 Ho 3.40-3.74, 2 Sc 3.54, 2 Dy 3.55
Ho 0.0000 0.7280 0.4560  4 Ho 3.25-3.51, 2 Sc 3.38, 3 Dy 3.41-3.53
Ho 0.5000 0.9095 0.8189  8 Ho 3.40-3.74, 2 Sc 3.54, 2 Dy 3.55
Ho 0.0000 0.5710 0.1420  4 Sc 3.13-3.34, 4 Ho 3.40
Ho 0.0000 0.2720 0.5440  4 Ho 3.25-3.51, 2 Sc 3.38, 3 Dy 3.41-3.53
Ho 0.0000 0.0000 0.0000  4 Sc 3.32, 2 Ho 3.51
Sc 0.5000 0.5000 0.0000  8 Ho 3.13-3.32
Sc 0.5000 0.6490 0.2980  6 Ho 3.34-3.54, 4 Dy 3.46, 2 Sc 3.51
Sc 0.5000 0.3510 0.7020  6 Ho 3.34-3.54, 4 Dy 3.46, 2 Sc 3.51
Dy 0.0000 0.8248 0.6495  5 Ho 3.41-3.55, 4 Sc 3.46, 2 Dy 3.51
Dy 0.0000 0.1752 0.3505  5 Ho 3.41-3.55, 4 Sc 3.46, 2 Dy 3.51



A plane-wave DFT calculation with PBE was carried out for Dy4HoSc5 after structural relaxation.

Final energy, eV per atom: -5.1629
Energy relative to the elements, kcal/mol of atoms: 6.95

a = 6.0029 Å, b = 7.5272 Å, c = 7.5272 Å
α = 80.85°, β = 66.50°, γ = 66.50°
With the nearest neighbours (Å) after each atom.
Element x y z (fractional)
Dy 0.7951 0.7053 0.6080  4 Sc 3.07-3.37, 1 Dy 3.20
Dy 0.4032 0.3920 0.7053  4 Sc 3.07-3.37, 1 Dy 3.20
Dy 0.1085 0.2947 0.3920  4 Sc 3.07-3.37, 1 Dy 3.20
Dy 0.5005 0.6080 0.2947  4 Sc 3.07-3.37, 1 Dy 3.20
Sc 0.0904 0.6276 0.0831  1 Sc 3.04, 4 Dy 3.07-3.37, 1 Ho 3.13
Sc 0.6932 0.0000 0.0000  1 Ho 2.80, 4 Sc 3.04
Sc 0.7180 0.0831 0.3724  1 Sc 3.04, 4 Dy 3.07-3.37, 1 Ho 3.13
Sc 0.8012 0.3724 0.9169  1 Sc 3.04, 4 Dy 3.07-3.37, 1 Ho 3.13
Sc 0.1735 0.9169 0.6276  1 Sc 3.04, 4 Dy 3.07-3.37, 1 Ho 3.13
Ho 0.2268 0.0000 0.0000  5 Sc 2.80-3.13



A plane-wave DFT calculation with PBE was carried out for Dy4Ho5Sc3 after structural relaxation.

Final energy, eV per atom: -4.8073
Energy relative to the elements, kcal/mol of atoms: 5.01

a = 5.6834 Å, b = 8.4224 Å, c = 9.3268 Å
α = 106.13°, β = 72.26°, γ = 70.28°
With the nearest neighbours (Å) after each atom.
Element x y z (fractional)
Sc 0.0000 0.5000 0.5000  2 Ho 2.84
Sc 0.5200 0.6944 0.2655  5 Ho 3.07-3.31, 4 Dy 3.22-3.40
Sc 0.4800 0.3056 0.7345  5 Ho 3.07-3.31, 4 Dy 3.22-3.40
Ho 0.3622 0.0641 0.2116  2 Sc 3.16-3.32, 1 Ho 3.45, 2 Dy 3.51
Ho 0.6378 0.9359 0.7884  2 Sc 3.16-3.32, 1 Ho 3.45, 2 Dy 3.51
Ho 0.5000 0.5000 0.5000  4 Sc 2.84-3.07
Ho 0.2045 0.4694 0.1216  4 Sc 3.12-3.31, 3 Dy 3.36-3.44
Ho 0.7955 0.5306 0.8784  4 Sc 3.12-3.31, 3 Dy 3.36-3.44
Dy 0.8363 0.9477 0.3796  3 Sc 3.22-3.38, 3 Dy 3.44-3.53, 3 Ho 3.50-3.51
Dy 0.1637 0.0523 0.6204  3 Sc 3.22-3.38, 3 Dy 3.44-3.53, 3 Ho 3.50-3.51
Dy 0.1405 0.7772 0.9418  2 Dy 3.23-3.53, 6 Ho 3.36-3.60, 1 Sc 3.40
Dy 0.8595 0.2228 0.0582  2 Dy 3.23-3.53, 6 Ho 3.36-3.60, 1 Sc 3.40



A plane-wave DFT calculation with PBE was carried out for Dy7Ho2Sc3 after structural relaxation.

Final energy, eV per atom: -4.8778
Energy relative to the elements, kcal/mol of atoms: 3.52

a = 3.5141 Å, b = 5.6612 Å, c = 18.4897 Å
α = 98.81°, β = 90.00°, γ = 90.00°
With the nearest neighbours (Å) after each atom.
Element x y z (fractional)
Sc 0.5000 0.3506 0.7012  6 Dy 3.35-3.54, 4 Ho 3.47, 2 Sc 3.51
Sc 0.5000 0.5000 0.0000  8 Dy 3.14-3.33, 2 Sc 3.51
Sc 0.5000 0.6494 0.2988  6 Dy 3.35-3.54, 4 Ho 3.47, 2 Sc 3.51
Ho 0.0000 0.8244 0.6488  5 Dy 3.43-3.55, 4 Sc 3.47, 2 Ho 3.51
Ho 0.0000 0.1756 0.3512  5 Dy 3.43-3.55, 4 Sc 3.47, 2 Ho 3.51
Dy 0.0000 0.5713 0.1426  4 Sc 3.14-3.35, 6 Dy 3.41-3.51
Dy 0.5000 0.9089 0.8178  8 Dy 3.41-3.76, 2 Sc 3.54, 2 Ho 3.55
Dy 0.0000 0.4287 0.8574  4 Sc 3.14-3.35, 6 Dy 3.41-3.51
Dy 0.0000 0.2716 0.5433  4 Dy 3.24-3.51, 2 Sc 3.38, 3 Ho 3.43-3.51
Dy 0.0000 0.7284 0.4567  4 Dy 3.24-3.51, 2 Sc 3.38, 3 Ho 3.43-3.51
Dy 0.5000 0.0911 0.1822  8 Dy 3.41-3.76, 2 Sc 3.54, 2 Ho 3.55
Dy 0.0000 0.0000 0.0000  4 Sc 3.33, 2 Dy 3.51



A plane-wave DFT calculation with PBE was carried out for Dy2Ho3Sc after structural relaxation.

Final energy, eV per atom: -4.8422
Energy relative to the elements, kcal/mol of atoms: 0.83

a = 6.0386 Å, b = 6.9758 Å, c = 9.2206 Å
α = 112.23°, β = 89.93°, γ = 90.00°
With the nearest neighbours (Å) after each atom.
Element x y z (fractional)
Sc 0.7500 0.1229 0.0000  8 Ho 3.44-3.52, 2 Dy 3.47, 2 Sc 3.47
Sc 0.2500 0.8771 0.0000  8 Ho 3.44-3.52, 2 Dy 3.47, 2 Sc 3.47
Ho 0.9197 0.7126 0.6725  2 Sc 3.44, 4 Ho 3.44-3.57, 6 Dy 3.46-3.55
Ho 0.0803 0.2874 0.3275  2 Sc 3.44, 4 Ho 3.44-3.57, 6 Dy 3.46-3.55
Ho 0.7500 0.6280 0.0000  4 Ho 3.44-3.51, 4 Sc 3.45-3.52, 4 Dy 3.47-3.48
Ho 0.2500 0.3720 0.0000  4 Ho 3.44-3.51, 4 Sc 3.45-3.52, 4 Dy 3.47-3.48
Ho 0.4197 0.9599 0.6725  2 Sc 3.44, 4 Ho 3.44-3.57, 6 Dy 3.46-3.55
Ho 0.5803 0.0401 0.3275  2 Sc 3.44, 4 Ho 3.44-3.57, 6 Dy 3.46-3.55
Dy 0.5850 0.5393 0.3305  8 Ho 3.46-3.55, 1 Sc 3.47, 3 Dy 3.49-3.52
Dy 0.4150 0.4607 0.6695  8 Ho 3.46-3.55, 1 Sc 3.47, 3 Dy 3.49-3.52
Dy 0.9150 0.2088 0.6695  8 Ho 3.46-3.55, 1 Sc 3.47, 3 Dy 3.49-3.52
Dy 0.0850 0.7912 0.3305  8 Ho 3.46-3.55, 1 Sc 3.47, 3 Dy 3.49-3.52